Entry 1:
PBE InPtW2, relaxed; Fermi-level density of states = 0.680 states/eV per atom; E = -8.474 eV/atom
1.0
5.152 -0.015 0.026
4.274 2.877 0.026
0.921 0.280 4.574
W Pt In
2 1 1
Cartesian
9.381 2.848 0.102
5.219 1.584 2.264
2.587 0.785 1.157
7.760 2.356 3.470

---

Entry 2:
PBE In3PtW, relaxed; Fermi-level density of states = 1.067 states/eV per atom; distance to the lowest polymorph of the same formula = 0.226 eV per atom
1.0
-0.385 4.985 1.521
0.007 -1.524 4.999
5.212 0.370 0.106
Pt In W
1 3 1
Cartesian
2.417 1.916 3.313
-0.192 2.492 0.760
2.606 0.185 0.053
0.003 -0.762 2.499
0.000 0.000 0.000

---

Entry 3:
PBE In2PtW, relaxed; Fermi-level density of states = 0.318 states/eV per atom; distance to the lowest polymorph of the same formula = 0.065 eV per atom
1.0
-9.322 -1.954 1.472
-8.096 -4.367 2.875
-8.413 -1.730 4.373
Pt In W
1 2 1
Cartesian
-12.794 -3.988 4.319
-0.129 -0.040 0.043
-6.290 -1.960 2.123
-19.535 -6.089 6.594

---

Entry 4:
PBE InPtW2, relaxed; Fermi-level density of states = 0.343 states/eV per atom; E = -8.426 eV/atom
1.0
-0.781 9.129 3.222
-2.843 7.934 4.827
-0.110 7.857 5.710
In W Pt
1 2 1
Cartesian
-1.860 12.416 6.855
-0.010 0.067 0.037
-0.942 6.288 3.471
-2.788 18.611 10.275

---

Entry 5:
PBE InPtW2, relaxed; Fermi-level density of states = 0.692 states/eV per atom; E = -8.380 eV/atom
1.0
-1.428 -1.670 -1.746
0.609 -2.211 1.618
-7.156 1.360 4.552
In W Pt
1 2 1
Cartesian
-2.199 -1.601 1.074
-3.677 0.699 2.339
-7.058 1.342 4.489
-5.777 -0.920 3.350

---

Entry 6:
PBE InPtW2, relaxed; Fermi-level density of states = 0.423 states/eV per atom; E = -8.521 eV/atom
1.0
5.211 -0.001 -0.032
2.294 4.679 0.032
-3.736 -2.366 2.757
W In Pt
2 1 1
Cartesian
3.753 2.339 0.000
7.505 4.678 0.000
2.614 -0.014 1.363
1.156 2.326 1.395

---

Entry 7:
PBE InPtW2, relaxed; Fermi-level density of states = 0.571 states/eV per atom; E = -8.462 eV/atom
1.0
4.500 0.000 0.000
0.000 3.878 0.000
0.000 0.000 3.878
W In Pt
2 1 1
Cartesian
0.000 0.000 0.000
0.000 1.939 1.939
2.250 1.939 0.000
2.250 0.000 1.939

---

Entry 8:
PBE InPt2W2, relaxed; Fermi-level density of states = 0.487 states/eV per atom; E = -8.031 eV/atom
1.0
-1.827 1.827 6.844
1.827 -1.827 6.844
1.827 1.827 -6.844
In Pt W
1 2 2
Cartesian
0.000 0.000 0.000
0.000 0.000 5.488
0.000 0.000 8.200
0.000 1.827 3.422
1.827 0.000 3.422

---

Entry 9:
PBE InPtW, relaxed; Fermi-level density of states = 1.033 states/eV per atom; distance to the lowest polymorph of the same formula = 0.112 eV per atom
1.0
-1.761 1.625 1.717
-1.057 -2.403 -1.340
1.806 -3.872 5.517
Pt W In
1 1 1
Cartesian
-0.901 -1.057 2.606
-0.117 -3.579 3.267
0.007 -0.014 0.021

---

Entry 10:
PBE InPtW2, relaxed; Fermi-level density of states = 0.690 states/eV per atom; E = -8.339 eV/atom
1.0
-1.481 2.819 -9.047
1.244 1.904 -9.317
-0.938 0.028 -9.545
In W Pt
1 2 1
Cartesian
-0.294 1.188 -6.977
-0.583 2.355 -13.837
-0.005 0.020 -0.117
-0.882 3.563 -20.932

---

Entry 11:
PBE InPtW2, relaxed; Fermi-level density of states = 0.617 states/eV per atom; E = -8.522 eV/atom
1.0
-0.823 2.424 1.152
-2.297 -0.587 -1.504
-3.349 -4.381 6.824
W In Pt
2 1 1
Cartesian
-3.318 -4.340 6.762
-2.362 -0.130 1.457
-1.694 -2.216 3.451
-4.119 -2.429 5.039

---

Entry 12:
PBE InPtW2, relaxed; Fermi-level density of states = 0.909 states/eV per atom; E = -8.113 eV/atom
1.0
4.927 0.000 0.000
0.000 4.927 0.000
0.000 0.000 2.817
In Pt W
1 1 2
Cartesian
2.463 0.000 1.408
0.000 2.463 1.408
2.463 2.463 0.000
0.000 0.000 0.000